# AcCeBeN3

A relaxed AcCeBeN3 crystal (GGA-PBE, the Alexandria database). Values from VASP.

The structure in Quantum ESPRESSO input format:
```
&SYSTEM
  ibrav = 0, nat = 12, ntyp = 4
/
ATOMIC_SPECIES
Ac 227.00 Ac.upf
Ce 140.12 Ce.upf
Be 9.01 Be.upf
N 14.01 N.upf
CELL_PARAMETERS angstrom
3.5072 0.0000 0.0000
0.0000 7.4562 1.0833
0.0000 -2.4531 6.7221
ATOMIC_POSITIONS crystal
Ac 0.2500 0.1782 0.2223
Ac 0.7500 0.8218 0.7777
Ce 0.2500 0.6577 0.1835
Ce 0.7500 0.3423 0.8165
Be 0.2500 0.0706 0.6039
Be 0.7500 0.9294 0.3961
N 0.7500 0.8744 0.1538
N 0.2500 0.1256 0.8462
N 0.2500 0.8515 0.4863
N 0.7500 0.1485 0.5137
N 0.7500 0.4290 0.1500
N 0.2500 0.5710 0.8500
```

Computed properties:
**ΔE_f (raw)**: -1.2058 eV/atom
**Crystal system**: monoclinic